(1)
# PBE Rb2HgCl5, optimized geometry
data_Rb2HgCl5
_chemical_formula_sum 'Rb4 Hg2 Cl10'
_cell_length_a 6.0567
_cell_length_b 8.4355
_cell_length_c 13.8074
_cell_angle_alpha 90.00
_cell_angle_beta 90.00
_cell_angle_gamma 111.04
_space_group_name_H-M_alt 'P 1'
_space_group_IT_number 1
loop_
_space_group_symop_operation_xyz
'x,y,z'
loop_
_atom_site_label
_atom_site_fract_x
_atom_site_fract_y
_atom_site_fract_z
_atom_site_occupancy
Rb1 0.8437 0.6875 0.4140 1
Rb2 0.8437 0.6875 0.0860 1
Rb3 0.1563 0.3125 0.5860 1
Rb4 0.1563 0.3125 0.9140 1
Hg1 0.8376 0.6751 0.7500 1
Hg2 0.1624 0.3249 0.2500 1
Cl1 0.9495 0.8990 0.8794 1
Cl2 0.9495 0.8990 0.6206 1
Cl3 0.2759 0.5519 0.3816 1
Cl4 0.2759 0.5519 0.1184 1
Cl5 0.6898 0.3797 0.2500 1
Cl6 0.3102 0.6203 0.7500 1
Cl7 0.7241 0.4481 0.6184 1
Cl8 0.7241 0.4481 0.8816 1
Cl9 0.0505 0.1010 0.1206 1
Cl10 0.0505 0.1010 0.3794 1
# DOS(E_F) = 16.99 states/eV per cell
# energy relative to the lowest polymorph listed for this composition = 40 meV per atom

=====

(2)
# PBE Rb3HgCl6, optimized geometry
data_Rb3HgCl6
_chemical_formula_sum 'Rb3 Hg1 Cl6'
_cell_length_a 8.0334
_cell_length_b 8.0334
_cell_length_c 8.0279
_cell_angle_alpha 59.98
_cell_angle_beta 59.98
_cell_angle_gamma 90.00
_space_group_name_H-M_alt 'P 1'
_space_group_IT_number 1
loop_
_space_group_symop_operation_xyz
'x,y,z'
loop_
_atom_site_label
_atom_site_fract_x
_atom_site_fract_y
_atom_site_fract_z
_atom_site_occupancy
Hg1 0.0000 0.0000 0.0000 1
Rb1 0.5000 0.5000 0.0000 1
Rb2 0.7500 0.2500 0.5000 1
Rb3 0.2500 0.7500 0.5000 1
Cl1 0.2293 0.2293 0.5413 1
Cl2 0.7707 0.7707 0.4587 1
Cl3 0.2297 0.2297 0.0000 1
Cl4 0.7703 0.7703 0.0000 1
Cl5 0.7703 0.2297 0.0000 1
Cl6 0.2297 0.7703 0.0000 1
# DOS(E_F) = 8.03 states/eV per cell
# energy relative to the lowest polymorph listed for this composition = 46 meV per atom

=====

(3)
# PBE Rb3Hg5Cl12, optimized geometry
data_Rb3Hg5Cl12
_chemical_formula_sum 'Rb12 Hg20 Cl48'
_cell_length_a 15.0693
_cell_length_b 15.0693
_cell_length_c 15.0693
_cell_angle_alpha 109.47
_cell_angle_beta 109.47
_cell_angle_gamma 109.47
_space_group_name_H-M_alt 'P 1'
_space_group_IT_number 1
loop_
_space_group_symop_operation_xyz
'x,y,z'
loop_
_atom_site_label
_atom_site_fract_x
_atom_site_fract_y
_atom_site_fract_z
_atom_site_occupancy
Rb1 0.7500 0.3750 0.1250 1
Rb2 0.8750 0.7500 0.1250 1
Rb3 0.3750 0.7500 0.6250 1
Rb4 0.2500 0.1250 0.3750 1
Rb5 0.8750 0.1250 0.2500 1
Rb6 0.3750 0.6250 0.2500 1
Rb7 0.6250 0.3750 0.7500 1
Rb8 0.1250 0.8750 0.7500 1
Rb9 0.7500 0.8750 0.6250 1
Rb10 0.6250 0.2500 0.3750 1
Rb11 0.1250 0.2500 0.8750 1
Rb12 0.2500 0.6250 0.8750 1
Hg1 0.1250 0.3750 0.2500 1
Hg2 0.0000 0.5000 0.0000 1
Hg3 0.0000 0.0000 0.0000 1
Hg4 0.3750 0.2500 0.1250 1
Hg5 0.5000 0.0000 0.5000 1
Hg6 0.5000 0.5000 0.0000 1
Hg7 0.1250 0.7500 0.3750 1
Hg8 0.7500 0.1250 0.8750 1
Hg9 0.7500 0.6250 0.3750 1
Hg10 0.3750 0.1250 0.7500 1
Hg11 0.6250 0.8750 0.2500 1
Hg12 0.5000 0.5000 0.5000 1
Hg13 0.5000 0.0000 0.0000 1
Hg14 0.0000 0.0000 0.5000 1
Hg15 0.2500 0.3750 0.6250 1
Hg16 0.2500 0.8750 0.1250 1
Hg17 0.0000 0.5000 0.5000 1
Hg18 0.8750 0.2500 0.6250 1
Hg19 0.6250 0.7500 0.8750 1
Hg20 0.8750 0.6250 0.7500 1
Cl1 0.7002 0.1153 0.0211 1
Cl2 0.3208 0.5211 0.4057 1
Cl3 0.9789 0.3847 0.2998 1
Cl4 0.5211 0.2002 0.1153 1
Cl5 0.5849 0.7002 0.6792 1
Cl6 0.9789 0.5943 0.1792 1
Cl7 0.3208 0.7998 0.4151 1
Cl8 0.0943 0.9151 0.1153 1
Cl9 0.5943 0.9789 0.6792 1
Cl10 0.7002 0.5849 0.1792 1
Cl11 0.7998 0.4789 0.3847 1
Cl12 0.8208 0.9057 0.0211 1
Cl13 0.1153 0.7002 0.5211 1
Cl14 0.3847 0.4057 0.0849 1
Cl15 0.0849 0.9057 0.3847 1
Cl16 0.4151 0.1153 0.5943 1
Cl17 0.0849 0.1792 0.2002 1
Cl18 0.4789 0.6792 0.0943 1
Cl19 0.8208 0.9151 0.2998 1
Cl20 0.1153 0.4151 0.0943 1
Cl21 0.3847 0.9789 0.7998 1
Cl22 0.5943 0.6153 0.4151 1
Cl23 0.9057 0.8208 0.5211 1
Cl24 0.7998 0.3208 0.9151 1
Cl25 0.4057 0.3847 0.5849 1
Cl26 0.0943 0.1792 0.4789 1
Cl27 0.2002 0.6792 0.0849 1
Cl28 0.1792 0.0849 0.7002 1
Cl29 0.6153 0.0211 0.2002 1
Cl30 0.8847 0.5849 0.9057 1
Cl31 0.5211 0.3208 0.9057 1
Cl32 0.5849 0.8847 0.4057 1
Cl33 0.9151 0.8208 0.7998 1
Cl34 0.9151 0.0943 0.6153 1
Cl35 0.8847 0.2998 0.4789 1
Cl36 0.1792 0.0943 0.9789 1
Cl37 0.6153 0.5943 0.9151 1
Cl38 0.4057 0.0211 0.3208 1
Cl39 0.2998 0.4151 0.8208 1
Cl40 0.2002 0.5211 0.6153 1
Cl41 0.9057 0.0849 0.8847 1
Cl42 0.6792 0.2002 0.5849 1
Cl43 0.4789 0.7998 0.8847 1
Cl44 0.0211 0.4057 0.8208 1
Cl45 0.4151 0.2998 0.3208 1
Cl46 0.0211 0.6153 0.7002 1
Cl47 0.6792 0.4789 0.5943 1
Cl48 0.2998 0.8847 0.9789 1
# DOS(E_F) = 6.80 states/eV per cell

=====

(4)
# PBE RbHg2Cl5, optimized geometry
data_RbHg2Cl5
_chemical_formula_sum 'Rb2 Hg4 Cl10'
_cell_length_a 4.5032
_cell_length_b 8.5536
_cell_length_c 14.8075
_cell_angle_alpha 90.00
_cell_angle_beta 90.00
_cell_angle_gamma 105.26
_space_group_name_H-M_alt 'P 1'
_space_group_IT_number 1
loop_
_space_group_symop_operation_xyz
'x,y,z'
loop_
_atom_site_label
_atom_site_fract_x
_atom_site_fract_y
_atom_site_fract_z
_atom_site_occupancy
Rb1 0.7933 0.5866 0.7500 1
Rb2 0.2067 0.4134 0.2500 1
Hg1 0.9034 0.8068 0.4230 1
Hg2 0.9034 0.8068 0.0770 1
Hg3 0.0966 0.1932 0.5770 1
Hg4 0.0966 0.1932 0.9230 1
Cl1 0.9452 0.8904 0.8941 1
Cl2 0.9452 0.8904 0.6059 1
Cl3 0.3249 0.6498 0.4480 1
Cl4 0.3249 0.6498 0.0520 1
Cl5 0.8470 0.6940 0.2500 1
Cl6 0.1530 0.3060 0.7500 1
Cl7 0.6751 0.3502 0.5520 1
Cl8 0.6751 0.3502 0.9480 1
Cl9 0.0548 0.1096 0.1059 1
Cl10 0.0548 0.1096 0.3941 1
# DOS(E_F) = 0.00 states/eV per cell
# energy relative to the lowest polymorph listed for this composition = 0 meV per atom

=====

(5)
# PBE RbHg6Cl12, optimized geometry
data_RbHg6Cl12
_chemical_formula_sum 'Rb1 Hg6 Cl12'
_cell_length_a 9.3462
_cell_length_b 9.3462
_cell_length_c 9.3462
_cell_angle_alpha 109.30
_cell_angle_beta 109.30
_cell_angle_gamma 109.30
_space_group_name_H-M_alt 'P 1'
_space_group_IT_number 1
loop_
_space_group_symop_operation_xyz
'x,y,z'
loop_
_atom_site_label
_atom_site_fract_x
_atom_site_fract_y
_atom_site_fract_z
_atom_site_occupancy
Rb1 0.0000 0.0000 0.0000 1
Hg1 0.1647 0.3317 0.6001 1
Hg2 0.6683 0.3999 0.8353 1
Hg3 0.3999 0.8353 0.6683 1
Hg4 0.8353 0.6683 0.3999 1
Hg5 0.3317 0.6001 0.1647 1
Hg6 0.6001 0.1647 0.3317 1
Cl1 0.4117 0.1664 0.5648 1
Cl2 0.1664 0.5648 0.4117 1
Cl3 0.5648 0.4117 0.1664 1
Cl4 0.5883 0.8336 0.4352 1
Cl5 0.8336 0.4352 0.5883 1
Cl6 0.4352 0.5883 0.8336 1
Cl7 0.0896 0.9131 0.6602 1
Cl8 0.3398 0.9104 0.0869 1
Cl9 0.0869 0.3398 0.9104 1
Cl10 0.9104 0.0869 0.3398 1
Cl11 0.6602 0.0896 0.9131 1
Cl12 0.9131 0.6602 0.0896 1
# DOS(E_F) = 3.10 states/eV per cell
# energy relative to the lowest polymorph listed for this composition = 0 meV per atom

=====

(6)
# PBE Rb2Hg2Cl7, optimized geometry
data_Rb2Hg2Cl7
_chemical_formula_sum 'Rb2 Hg2 Cl7'
_cell_length_a 6.7108
_cell_length_b 7.6309
_cell_length_c 6.7108
_cell_angle_alpha 89.98
_cell_angle_beta 99.38
_cell_angle_gamma 90.02
_space_group_name_H-M_alt 'P 1'
_space_group_IT_number 1
loop_
_space_group_symop_operation_xyz
'x,y,z'
loop_
_atom_site_label
_atom_site_fract_x
_atom_site_fract_y
_atom_site_fract_z
_atom_site_occupancy
Rb1 0.7733 0.5000 0.7733 1
Rb2 0.2267 0.5000 0.2267 1
Hg1 0.7316 0.0000 0.2684 1
Hg2 0.2684 0.0000 0.7316 1
Cl1 0.9998 0.2273 0.5004 1
Cl2 0.5004 0.7727 0.9998 1
Cl3 0.0002 0.7727 0.4996 1
Cl4 0.4996 0.2273 0.0002 1
Cl5 0.0000 0.0000 0.0000 1
Cl6 0.5002 0.7836 0.4998 1
Cl7 0.4998 0.2164 0.5002 1
# DOS(E_F) = 11.14 states/eV per cell
# energy relative to the lowest polymorph listed for this composition = 99 meV per atom

=====

Number 1: electronic total energy -0.09320 Ha/atom. Number 2: electronic total energy -0.09790 Ha/atom. Number 3: electronic total energy -0.08480 Ha/atom. Number 4: electronic total energy -0.08281 Ha/atom. Number 5: electronic total energy -0.07270 Ha/atom. Number 6: electronic total energy -0.08332 Ha/atom.